First-principles (GGA+U) data for BeCr2O after structural relaxation, as listed in Alexandria via LeMat-Bulk.

Output
Crystal system = cubic
Energy relative to the lowest polymorph listed for this composition = 1.4185 eV/atom

abc: 3.7955 3.7955 3.7955
angles: 60.00 60.00 60.00
Last column: nearest neighbours and their distance in Å.
Sites, in units of the cell vectors:
Be 0.0000 0.0000 0.0000  8 Cr 2.32
Cr 0.2500 0.2500 0.2500  4 O 2.32, 4 Be 2.32
Cr 0.7500 0.7500 0.7500  4 O 2.32, 4 Be 2.32
O 0.5000 0.5000 0.5000  8 Cr 2.32